No. 1
Computed, not measured: a relaxed structure of Li3AlN at the GGA-PBE level of DFT.

The total magnetization comes out at 0.00 μB per cell. The total energy is -2.158 eV/atom. The value obtained for the density of states at the Fermi level is 5.1 states/eV per cell.

Lattice parameters (Å, degrees): 4.7617 4.7617 4.7617 90.00 90.00 90.00
Closest atoms and distances in Å follow each position.
Atoms (fractional coordinates):
Li (0.0000, 0.0000, 0.5000)  2 Al 2.38
Li (0.0000, 0.5000, 0.0000)  2 Al 2.38
Li (0.5000, 0.0000, 0.0000)  2 Al 2.38
Al (0.0000, 0.0000, 0.0000)  6 Li 2.38
N (0.5000, 0.5000, 0.5000)  12 Li 3.37

=====

No. 2
Computed, not measured: a relaxed structure of UAs2Pd2Pt at the GGA-PBE level of DFT.

The total magnetization comes out at 3.46 μB per cell. For the formation energy from the elements, the calculation gives -0.47 eV/atom. The value obtained for the density of states at the Fermi level is 13.9 states/eV per cell.

Lattice parameters (Å, degrees): 3.8749 8.3778 6.6643 90.00 90.00 90.00
Closest atoms and distances in Å follow each position.
Atoms (fractional coordinates):
U (0.0000, 0.0789, 0.0000)  5 As 2.86-3.12, 4 Pt 2.87-3.07
U (0.0000, 0.9211, 0.5000)  5 As 2.86-3.12, 4 Pt 2.87-3.07
As (0.0000, 0.3926, 0.8251)  4 Pd 2.47-2.72
As (0.0000, 0.6074, 0.3251)  4 Pd 2.47-2.72
As (0.5000, 0.1641, 0.2965)  3 Pd 2.58-2.60, 2 Pt 2.68-2.77, 2 U 2.86
As (0.5000, 0.8359, 0.7965)  3 Pd 2.58-2.60, 2 Pt 2.68-2.77, 2 U 2.86
Pd (0.0000, 0.3286, 0.4478)  4 As 2.47-2.58
Pd (0.0000, 0.6714, 0.9478)  4 As 2.47-2.58
Pd (0.5000, 0.4350, 0.1074)  5 As 2.60-2.82
Pd (0.5000, 0.5650, 0.6074)  5 As 2.60-2.82
Pt (0.5000, 0.1578, 0.6987)  4 As 2.68-2.89, 2 U 2.87, 2 Pd 2.93
Pt (0.5000, 0.8422, 0.1987)  4 As 2.68-2.89, 2 U 2.87, 2 Pd 2.93

=====

No. 3
Computed, not measured: a relaxed structure of CaTaRh2 at the GGA-PBE level of DFT.

The total magnetization comes out at 0.00 μB per cell. For the formation energy from the elements, the calculation gives -0.20 eV/atom. The value obtained for the density of states at the Fermi level is 2.3 states/eV per cell.

Lattice parameters (Å, degrees): 3.7956 3.7956 7.3805 96.59 96.59 48.69
Closest atoms and distances in Å follow each position.
Atoms (fractional coordinates):
Ca (0.0000, 0.0000, 0.0000)  6 Rh 2.90-3.06, 2 Ca 3.13
Ta (0.5000, 0.5000, 0.5000)  6 Rh 2.49-2.63
Rh (0.2419, 0.2419, 0.7068)  3 Ta 2.49-2.63
Rh (0.7581, 0.7581, 0.2932)  3 Ta 2.49-2.63

=====

No. 4
Computed, not measured: a relaxed structure of CaEr2Lu at the GGA-PBE level of DFT.

The total magnetization comes out at 0.00 μB per cell. For the formation energy from the elements, the calculation gives 0.09 eV/atom. The value obtained for the density of states at the Fermi level is 5.9 states/eV per cell.

Lattice parameters (Å, degrees): 3.5624 3.5624 10.2706 90.00 90.00 90.00
Closest atoms and distances in Å follow each position.
Atoms (fractional coordinates):
Ca (0.0000, 0.0000, 0.0000)  4 Ca 3.56, 8 Er 3.77
Er (0.5000, 0.5000, 0.2726)  4 Lu 3.43, 4 Er 3.56, 4 Ca 3.77
Er (0.5000, 0.5000, 0.7274)  4 Lu 3.43, 4 Er 3.56, 4 Ca 3.77
Lu (0.0000, 0.0000, 0.5000)  8 Er 3.43, 4 Lu 3.56

=====

No. 5
Computed, not measured: a relaxed structure of Ba2ZrIn at the GGA-PBE level of DFT.

The total magnetization comes out at 0.05 μB per cell. For the formation energy from the elements, the calculation gives 0.26 eV/atom. The value obtained for the density of states at the Fermi level is 4.0 states/eV per cell.

Lattice parameters (Å, degrees): 11.9515 11.9515 11.9515 18.41 18.41 18.41
Closest atoms and distances in Å follow each position.
Atoms (fractional coordinates):
Ba (0.0000, 0.0000, 0.0000)  3 In 3.54, 6 Ba 3.82
Ba (0.2220, 0.2220, 0.2220)  3 Zr 3.64, 6 Ba 3.82
Zr (0.4732, 0.4732, 0.4732)  3 In 3.09
In (0.7453, 0.7453, 0.7453)  3 Zr 3.09

=====

No. 6
Computed, not measured: a relaxed structure of Ti6Sb3N at the GGA-PBE level of DFT.

The total magnetization comes out at 0.15 μB per cell. The total energy is -7.393 eV/atom. The value obtained for the density of states at the Fermi level is 21.1 states/eV per cell.

Lattice parameters (Å, degrees): 9.0048 9.0048 4.2978 90.00 90.00 100.70
Closest atoms and distances in Å follow each position.
Atoms (fractional coordinates):
Ti (0.0678, 0.9322, 0.5000)  1 N 2.03
Ti (0.0733, 0.5869, 0.4919)  1 N 1.99
Ti (0.2560, 0.7440, 0.9906)  2 N 2.22-2.23
Ti (0.2571, 0.4110, 0.9911)  6 Sb 2.85-3.04, 4 Ti 2.98-3.03
Ti (0.4110, 0.2571, 0.4911)  6 Sb 2.85-3.04, 4 Ti 2.98-3.03
Ti (0.4131, 0.9267, 0.4919)  1 N 1.99
Ti (0.5869, 0.0733, 0.9919)  1 N 1.99
Ti (0.5890, 0.7429, 0.9911)  6 Sb 2.85-3.04, 4 Ti 2.98-3.03
Ti (0.7429, 0.5890, 0.4911)  6 Sb 2.85-3.04, 4 Ti 2.98-3.03
Ti (0.7440, 0.2560, 0.4906)  2 N 2.22-2.23
Ti (0.9267, 0.4131, 0.9919)  1 N 1.99
Ti (0.9322, 0.0678, 0.0000)  1 N 2.03
Sb (0.0757, 0.2699, 0.4925)  10 Ti 2.85-3.04
Sb (0.2699, 0.0757, 0.9925)  10 Ti 2.85-3.04
Sb (0.4097, 0.5903, 0.4913)  1 N 2.71, 10 Ti 2.88-3.03
Sb (0.5903, 0.4097, 0.9913)  1 N 2.71, 10 Ti 2.88-3.03
Sb (0.7301, 0.9243, 0.4925)  10 Ti 2.85-3.04
Sb (0.9243, 0.7301, 0.9925)  10 Ti 2.85-3.04
N (0.2143, 0.7857, 0.4909)  5 Ti 1.99-2.23
N (0.7857, 0.2143, 0.9909)  5 Ti 1.99-2.23

=====

No. 7
Computed, not measured: a relaxed structure of TlInFe3 at the GGA-PBE level of DFT.

The total magnetization comes out at 8.88 μB per cell. For the formation energy from the elements, the calculation gives 1.47 eV/atom. The value obtained for the density of states at the Fermi level is 7.4 states/eV per cell.

Lattice parameters (Å, degrees): 4.9173 4.9173 4.9173 90.00 90.00 90.00
Closest atoms and distances in Å follow each position.
Atoms (fractional coordinates):
Tl (0.0000, 0.0000, 0.0000)  6 Fe 2.46
In (0.5000, 0.5000, 0.5000)  12 Fe 3.48
Fe (0.0000, 0.0000, 0.5000)  2 Tl 2.46
Fe (0.0000, 0.5000, 0.0000)  2 Tl 2.46
Fe (0.5000, 0.0000, 0.0000)  2 Tl 2.46

=====

No. 8
Computed, not measured: a relaxed structure of BaNbAl3 at the GGA-PBE level of DFT.

The total magnetization comes out at 0.00 μB per cell. For the formation energy from the elements, the calculation gives 0.07 eV/atom. The value obtained for the density of states at the Fermi level is 1.8 states/eV per cell.

Lattice parameters (Å, degrees): 5.1654 5.1654 5.1654 90.00 90.00 90.00
Closest atoms and distances in Å follow each position.
Atoms (fractional coordinates):
Ba (0.0000, 0.0000, 0.0000)  12 Al 3.65
Nb (0.5000, 0.5000, 0.5000)  6 Al 2.58
Al (0.0000, 0.5000, 0.5000)  2 Nb 2.58
Al (0.5000, 0.0000, 0.5000)  2 Nb 2.58
Al (0.5000, 0.5000, 0.0000)  2 Nb 2.58